CsAlRhBr2: optimized geometry, GGA-PBE.

POSCAR file:
```
CsAlRhBr2
1.0
5.5901 0.0000 0.0000
0.0000 5.5901 0.0000
0.0000 0.0000 4.7362
Cs Al Rh Br
1 1 1 2
Direct
0.0000 0.0000 0.0000
0.5000 0.5000 0.0000
0.5000 0.5000 0.5000
0.0000 0.5000 0.5000
0.5000 0.0000 0.5000
```

## Properties
SG: P4/mmm

***

CsAl2SBr: optimized geometry, GGA-PBE.

POSCAR file:
```
CsAl2SBr
1.0
4.9929 0.0000 0.0000
0.0000 4.9929 0.0000
0.0000 0.0000 7.8559
Cs Al S Br
1 2 1 1
Direct
0.0000 0.0000 0.0000
0.0000 0.5000 0.5000
0.5000 0.0000 0.5000
0.0000 0.0000 0.5000
0.5000 0.5000 0.0000
```

## Properties
SG: P4/mmm

***

CsAl2SBr: optimized geometry, GGA-PBE.

POSCAR file:
```
CsAl2SBr
1.0
5.5194 0.0000 0.0000
0.0000 5.5194 0.0000
0.0000 0.0000 5.9700
Cs Al S Br
1 2 1 1
Direct
0.0000 0.0000 0.0000
0.0000 0.5000 0.5000
0.5000 0.0000 0.5000
0.5000 0.5000 0.0000
0.5000 0.5000 0.5000
```

## Properties
SG: P4/mmm

***

no.,density of states at the Fermi level (states/eV/f.u.),ΔE_f (raw) (eV per atom)
1,1.4,-0.55
2,1.8,-0.28
3,1.8,0.34